<1>
# PrSb2Pd6 GGA-PBE optimized geometry
# N(E_F)	8.04	states/eV per cell
# V	19.79	A^3/atom
# total magnetization	0.0	μB per cell
data_PrSb2Pd6
_chemical_formula_sum 'Pr2 Sb4 Pd12'
_cell_length_a 10.720
_cell_length_b 8.025
_cell_length_c 4.573
_cell_angle_alpha 90.00
_cell_angle_beta 115.11
_cell_angle_gamma 90.00
_space_group_name_H-M_alt 'C 1 2/m 1'
_space_group_IT_number 12
_space_group_name_Hall '-C 2y'
loop_
_atom_site_label
_atom_site_type_symbol
_atom_site_fract_x
_atom_site_fract_y
_atom_site_fract_z
_atom_site_occupancy
Pr1 Pr 0.000 0.000 0.000 1
Sb1 Sb 0.171 0.500 0.671 1
Pd1 Pd 0.000 0.242 0.500 1
Pd2 Pd 0.186 0.315 0.186 1

***

<2>
# PrSb2Pd6 GGA-PBE optimized geometry
# N(E_F)	4.53	states/eV per cell
# V	21.66	A^3/atom
# total magnetization	0.0	μB per cell
data_PrSb2Pd6
_chemical_formula_sum 'Pr1 Sb2 Pd6'
_cell_length_a 5.6684
_cell_length_b 5.6684
_cell_length_c 7.0057
_cell_angle_alpha 90.00
_cell_angle_beta 90.00
_cell_angle_gamma 120.00
_space_group_name_H-M_alt 'P 6/m m m'
_space_group_IT_number 191
_space_group_name_Hall '-P 6 2'
loop_
_atom_site_label
_atom_site_type_symbol
_atom_site_fract_x
_atom_site_fract_y
_atom_site_fract_z
_atom_site_occupancy
Pr1 Pr 0.0000 0.0000 0.0000 1
Sb1 Sb 0.3333 0.6667 0.5000 1
Pd1 Pd 0.0000 0.5000 0.1968 1

***

Ranked by calculated energy, most stable first: <1>, <2>.

***

<1>
# PrSb2Pd3 GGA-PBE optimized geometry
# N(E_F)	13.40	states/eV per cell
# V	21.05	A^3/atom
# total magnetization	0.0	μB per cell
data_PrSb2Pd3
_chemical_formula_sum 'Pr4 Sb8 Pd12'
_cell_length_a 16.631
_cell_length_b 4.635
_cell_length_c 6.731
_cell_angle_alpha 90.00
_cell_angle_beta 103.20
_cell_angle_gamma 90.00
_space_group_name_H-M_alt 'C 1 2/m 1'
_space_group_IT_number 12
_space_group_name_Hall '-C 2y'
loop_
_atom_site_label
_atom_site_type_symbol
_atom_site_fract_x
_atom_site_fract_y
_atom_site_fract_z
_atom_site_occupancy
Pr1 Pr 0.119 0.000 0.160 1
Sb1 Sb 0.021 0.500 0.781 1
Sb2 Sb 0.232 0.000 0.700 1
Pd1 Pd 0.070 0.000 0.663 1
Pd2 Pd 0.134 0.500 0.478 1
Pd3 Pd 0.199 0.500 0.898 1

***

<2>
# PrSb2Pd3 GGA-PBE optimized geometry
# N(E_F)	16.43	states/eV per cell
# V	21.33	A^3/atom
# total magnetization	0.0	μB per cell
data_PrSb2Pd3
_chemical_formula_sum 'Pr6 Sb12 Pd18'
_cell_length_a 17.529
_cell_length_b 4.367
_cell_length_c 10.482
_cell_angle_alpha 90.00
_cell_angle_beta 106.85
_cell_angle_gamma 90.00
_space_group_name_H-M_alt 'C 1 2/m 1'
_space_group_IT_number 12
_space_group_name_Hall '-C 2y'
loop_
_atom_site_label
_atom_site_type_symbol
_atom_site_fract_x
_atom_site_fract_y
_atom_site_fract_z
_atom_site_occupancy
Pr1 Pr 0.000 0.000 0.000 1
Pr2 Pr 0.157 0.000 0.702 1
Sb1 Sb 0.035 0.500 0.781 1
Sb2 Sb 0.141 0.500 0.455 1
Sb3 Sb 0.198 0.000 0.124 1
Pd1 Pd 0.000 0.500 0.500 1
Pd2 Pd 0.044 0.000 0.341 1
Pd3 Pd 0.121 0.500 0.194 1
Pd4 Pd 0.174 0.500 0.964 1
Pd5 Pd 0.215 0.000 0.386 1

***

Ranked by calculated energy, most stable first: <2>, <1>.

***

<1>
# PrSiPd3 GGA-PBE optimized geometry
# N(E_F)	4.13	states/eV per cell
# V	21.87	A^3/atom
# total magnetization	0.0	μB per cell
data_PrSiPd3
_chemical_formula_sum 'Pr4 Si4 Pd12'
_cell_length_a 5.324
_cell_length_b 5.324
_cell_length_c 15.429
_cell_angle_alpha 90.00
_cell_angle_beta 90.00
_cell_angle_gamma 90.00
_space_group_name_H-M_alt 'I -4 m 2'
_space_group_IT_number 119
_space_group_name_Hall 'I -4 -2'
loop_
_atom_site_label
_atom_site_type_symbol
_atom_site_fract_x
_atom_site_fract_y
_atom_site_fract_z
_atom_site_occupancy
Pr1 Pr 0.000 0.000 0.153 1
Si1 Si 0.000 0.000 0.500 1
Si2 Si 0.000 0.500 0.750 1
Pd1 Pd 0.000 0.245 0.627 1
Pd2 Pd 0.000 0.500 0.038 1

***

<2>
# PrSiPd3 GGA-PBE optimized geometry
# N(E_F)	2.46	states/eV per cell
# V	20.17	A^3/atom
# total magnetization	0.0	μB per cell
data_PrSiPd3
_chemical_formula_sum 'Pr1 Si1 Pd3'
_cell_length_a 4.655
_cell_length_b 4.655
_cell_length_c 4.655
_cell_angle_alpha 90.00
_cell_angle_beta 90.00
_cell_angle_gamma 90.00
_space_group_name_H-M_alt 'P m -3 m'
_space_group_IT_number 221
_space_group_name_Hall '-P 4 2 3'
loop_
_atom_site_label
_atom_site_type_symbol
_atom_site_fract_x
_atom_site_fract_y
_atom_site_fract_z
_atom_site_occupancy
Pr1 Pr 0.000 0.000 0.000 1
Si1 Si 0.500 0.500 0.500 1
Pd1 Pd 0.000 0.500 0.500 1

***

Ranked by calculated energy, most stable first: <2>, <1>.

***

<1>
# Pr2Si3Pd2 GGA-PBE optimized geometry
# N(E_F)	6.29	states/eV per cell
# V	20.70	A^3/atom
# total magnetization	0.0	μB per cell
data_Pr2Si3Pd2
_chemical_formula_sum 'Pr4 Si6 Pd4'
_cell_length_a 11.020
_cell_length_b 4.166
_cell_length_c 6.454
_cell_angle_alpha 90.00
_cell_angle_beta 102.01
_cell_angle_gamma 90.00
_space_group_name_H-M_alt 'C 1 2/m 1'
_space_group_IT_number 12
_space_group_name_Hall '-C 2y'
loop_
_atom_site_label
_atom_site_type_symbol
_atom_site_fract_x
_atom_site_fract_y
_atom_site_fract_z
_atom_site_occupancy
Pr1 Pr 0.173 0.000 0.226 1
Si1 Si 0.000 0.500 0.500 1
Si2 Si 0.073 0.500 0.891 1
Pd1 Pd 0.096 0.000 0.693 1

***

<2>
# Pr2Si3Pd2 GGA-PBE optimized geometry
# N(E_F)	12.68	states/eV per cell
# V	19.70	A^3/atom
# total magnetization	0.0	μB per cell
data_Pr2Si3Pd2
_chemical_formula_sum 'Pr8 Si12 Pd8'
_cell_length_a 4.320
_cell_length_b 18.217
_cell_length_c 7.008
_cell_angle_alpha 90.00
_cell_angle_beta 90.00
_cell_angle_gamma 90.00
_space_group_name_H-M_alt 'C m c m'
_space_group_IT_number 63
_space_group_name_Hall '-C 2c 2'
loop_
_atom_site_label
_atom_site_type_symbol
_atom_site_fract_x
_atom_site_fract_y
_atom_site_fract_z
_atom_site_occupancy
Pr1 Pr 0.000 0.055 0.250 1
Pr2 Pr 0.000 0.155 0.750 1
Si1 Si 0.000 0.224 0.250 1
Si2 Si 0.000 0.441 0.073 1
Pd1 Pd 0.000 0.307 0.549 1

***

Ranked by calculated energy, most stable first: <2>, <1>.

***

<1>
# PrSm2Pd GGA-PBE optimized geometry
# N(E_F)	21.87	states/eV per cell
# V	29.52	A^3/atom
# total magnetization	0.0	μB per cell
data_PrSm2Pd
_chemical_formula_sum 'Pr4 Sm8 Pd4'
_cell_length_a 3.885
_cell_length_b 12.475
_cell_length_c 9.743
_cell_angle_alpha 90.00
_cell_angle_beta 90.00
_cell_angle_gamma 90.00
_space_group_name_H-M_alt 'C m c m'
_space_group_IT_number 63
_space_group_name_Hall '-C 2c 2'
loop_
_atom_site_label
_atom_site_type_symbol
_atom_site_fract_x
_atom_site_fract_y
_atom_site_fract_z
_atom_site_occupancy
Pr1 Pr 0.000 0.068 0.250 1
Sm1 Sm 0.000 0.364 0.061 1
Pd1 Pd 0.000 0.232 0.750 1

***

<2>
# PrSm2Pd GGA-PBE optimized geometry
# N(E_F)	6.29	states/eV per cell
# V	29.25	A^3/atom
# total magnetization	0.0	μB per cell
data_PrSm2Pd
_chemical_formula_sum 'Pr1 Sm2 Pd1'
_cell_length_a 3.659
_cell_length_b 3.659
_cell_length_c 8.738
_cell_angle_alpha 90.00
_cell_angle_beta 90.00
_cell_angle_gamma 90.00
_space_group_name_H-M_alt 'P 4/m m m'
_space_group_IT_number 123
_space_group_name_Hall '-P 4 2'
loop_
_atom_site_label
_atom_site_type_symbol
_atom_site_fract_x
_atom_site_fract_y
_atom_site_fract_z
_atom_site_occupancy
Pr1 Pr 0.000 0.000 0.000 1
Sm1 Sm 0.500 0.500 0.306 1
Pd1 Pd 0.000 0.000 0.500 1

***

<3>
# PrSm2Pd GGA-PBE optimized geometry
# N(E_F)	12.97	states/eV per cell
# V	31.62	A^3/atom
# total magnetization	0.0	μB per cell
data_PrSm2Pd
_chemical_formula_sum 'Pr3 Sm6 Pd3'
_cell_length_a 3.9238
_cell_length_b 3.9238
_cell_length_c 28.4534
_cell_angle_alpha 90.00
_cell_angle_beta 90.00
_cell_angle_gamma 120.00
_space_group_name_H-M_alt 'R 3 m'
_space_group_IT_number 160
_space_group_name_Hall 'R 3 -2"'
loop_
_atom_site_label
_atom_site_type_symbol
_atom_site_fract_x
_atom_site_fract_y
_atom_site_fract_z
_atom_site_occupancy
Pr1 Pr 0.0000 0.0000 0.0000 1
Sm1 Sm 0.0000 0.0000 0.2302 1
Sm2 Sm 0.0000 0.0000 0.4382 1
Pd1 Pd 0.0000 0.0000 0.8345 1

***

<4>
# PrSm2Pd GGA-PBE optimized geometry
# N(E_F)	13.10	states/eV per cell
# V	31.07	A^3/atom
# total magnetization	0.0	μB per cell
data_PrSm2Pd
_chemical_formula_sum 'Pr3 Sm6 Pd3'
_cell_length_a 3.8176
_cell_length_b 3.8176
_cell_length_c 29.5345
_cell_angle_alpha 90.00
_cell_angle_beta 90.00
_cell_angle_gamma 120.00
_space_group_name_H-M_alt 'R -3 m'
_space_group_IT_number 166
_space_group_name_Hall '-R 3 2"'
loop_
_atom_site_label
_atom_site_type_symbol
_atom_site_fract_x
_atom_site_fract_y
_atom_site_fract_z
_atom_site_occupancy
Pr1 Pr 0.0000 0.0000 0.0000 1
Sm1 Sm 0.0000 0.0000 0.2306 1
Pd1 Pd 0.0000 0.0000 0.5000 1

***

Ranked by calculated energy, most stable first: <1>, <2>, <3>, <4>.